PaNiB after structural relaxation, computed with PBE.

The structure belongs to space group F-43m (No. 216); the cell edges are 5.8593, 5.8593 and 5.8593 Å and the angles 90.00°, 90.00° and 90.00°. The inequivalent atoms are Pa at (0.0000, 0.0000, 0.0000), Ni at (0.2500, 0.2500, 0.2500) and B at (0.0000, 0.0000, 0.5000).

The value obtained for the polymorph energy (0 for the lowest one) is 265 meV per atom. As for the total magnetization: 0.04 μB/cell.

ScCoSi2 after structural relaxation, computed with PBE.

The structure belongs to space group F-43m (No. 216); the cell edges are 6.1004, 6.1004 and 6.1004 Å and the angles 90.00°, 90.00° and 90.00°. The inequivalent atoms are Sc at (0.0000, 0.0000, 0.0000), Co at (0.2500, 0.2500, 0.2500), Si at (0.0000, 0.0000, 0.5000) and Si at (0.2500, 0.2500, 0.7500).

As for the total magnetization: 0.00 μB/cell. The value obtained for the total energy is -6.2572 eV/atom.

YZrCu4 after structural relaxation, computed with PBE.

The structure belongs to space group P4/mmm (No. 123); the cell edges are 3.3793, 3.3793 and 8.7564 Å and the angles 90.00°, 90.00° and 90.00°. The inequivalent atoms are Y at (0.0000, 0.0000, 0.0000), Zr at (0.5000, 0.5000, 0.5000), Cu at (0.0000, 0.0000, 0.3291) and Cu at (0.5000, 0.5000, 0.1914).

As for the total magnetization: 0.35 μB/cell. The value obtained for the total energy is -5.1203 eV/atom.

SmHg2Pb after structural relaxation, computed with PBE.

The structure belongs to space group P4/mmm (No. 123); the cell edges are 4.6215, 4.6215 and 4.8758 Å and the angles 90.00°, 90.00° and 90.00°. The inequivalent atoms are Sm at (0.0000, 0.0000, 0.0000), Hg at (0.0000, 0.5000, 0.5000) and Pb at (0.5000, 0.5000, 0.0000).

As for the total magnetization: 0.00 μB/cell. The value obtained for the total energy is -2.6400 eV/atom.

RbZn after structural relaxation, computed with PBE.

The structure belongs to space group Pmmn (No. 59, origin choice 2); the cell edges are 6.3850, 14.9477 and 6.8024 Å and the angles 90.00°, 90.00° and 90.00°. The inequivalent atoms are Rb at (0.2500, 0.0677, 0.0782), Rb at (0.2500, 0.2500, 0.6127), Rb at (0.2500, 0.7500, 0.7838), Zn at (0.2500, 0.5340, 0.5416) and Zn at (0.2500, 0.6606, 0.2705).

The value obtained for the total energy is -0.9273 eV/atom.

SmTaN2 after structural relaxation, computed with PBE.

The structure belongs to space group Pnma (No. 62); the cell edges are 5.7451, 3.3189 and 11.0085 Å and the angles 90.00°, 90.00° and 90.00°. The inequivalent atoms are Sm at (0.0877, 0.2500, 0.1365), Ta at (0.0822, 0.7500, 0.3881), N at (0.1623, 0.2500, 0.7546) and N at (0.2298, 0.2500, 0.4898).

As for the total magnetization: 0.00 μB/cell. The value obtained for the total energy is -9.6679 eV/atom.